[1]
{"formula": "TaBe2W", "functional": "PBE", "state": "optimized geometry", "ef_ev_per_atom": 0.130, "spacegroup": "I-4m2 (119)", "de_polymorph_ev_per_fu": 1.42, "n_ef_per_ev_cell": 2.23, "lattice_angstrom": [[-0.6945, 1.8626, -4.4713], [-1.4511, -3.0112, -3.5737], [-1.3210, 1.0509, 4.5929]], "species": ["Ta", "W", "Be", "Be"], "frac_coords": [[0.5000, 0.5000, 0.0000], [0.7500, 0.2500, 0.5000], [0.2500, 0.7500, 0.5000], [0.0000, 0.0000, 0.0000]]}

=====

[2]
{"formula": "As4Br3", "functional": "PBE", "state": "optimized geometry", "spacegroup": "P6/mmm (191)", "e_form_raw_ev_per_atom": 0.638, "n_ef_per_ev_cell": 5.40, "lattice_angstrom": [[3.4149, -5.9147, 0.0000], [3.4149, 5.9147, 0.0000], [0.0000, 0.0000, 4.6629]], "species": ["As", "As", "As", "As", "Br", "Br", "Br"], "frac_coords": [[0.0000, 0.0000, 0.2672], [0.3333, 0.6667, 0.5000], [0.6667, 0.3333, 0.5000], [0.0000, 0.0000, 0.7328], [0.5000, 0.5000, 0.0000], [0.0000, 0.5000, 0.0000], [0.5000, 0.0000, 0.0000]]}

=====

[3]
{"formula": "LaNiRh2", "functional": "PBE", "state": "optimized geometry", "ef_ev_per_atom": -0.090, "spacegroup": "Pmm2 (25)", "de_polymorph_ev_per_fu": 1.69, "n_ef_per_ev_cell": 5.00, "lattice_angstrom": [[3.0550, 0.0000, 0.0000], [0.0000, 3.8290, 0.0000], [0.0000, 0.0000, 5.9530]], "species": ["La", "Rh", "Rh", "Ni"], "frac_coords": [[0.0000, 0.0000, 0.4997], [0.5000, 0.5000, 0.2182], [0.0000, 0.0000, 0.9784], [0.5000, 0.5000, 0.8037]]}

=====

[4]
{"formula": "LiTbHoCr", "functional": "PBE", "state": "optimized geometry", "ef_ev_per_atom": 0.171, "spacegroup": "F-43m (216)", "n_ef_per_ev_cell": 2.84, "lattice_angstrom": [[-2.9089, 4.1548, 0.0573], [-2.1908, 1.5027, 4.3208], [1.6210, 4.1988, 2.3388]], "species": ["Cr", "Tb", "Ho", "Li"], "frac_coords": [[0.5000, 0.5000, 0.5000], [0.7500, 0.7500, 0.7500], [0.2500, 0.2500, 0.2500], [0.0000, 0.0000, 0.0000]]}

=====

[5]
{"formula": "HfInHg", "functional": "PBE", "state": "optimized geometry", "ef_ev_per_atom": 0.000, "spacegroup": "I4mm (107)", "de_polymorph_ev_per_fu": 0.00, "n_ef_per_ev_cell": 1.69, "lattice_angstrom": [[3.2020, 0.0000, 0.0000], [0.0000, 3.2020, 0.0000], [-1.6010, -1.6010, 6.4999]], "species": ["In", "Hf", "Hg"], "frac_coords": [[0.3376, 0.3376, 0.6753], [0.0015, 0.0015, 0.0029], [0.6609, 0.6609, 0.3218]]}

=====

no.,final energy (eV/atom)
1,-7.9345
2,-2.7362
3,-6.4425
4,-5.0148
5,-4.3314